The following is a DFT calculation (PBE) of crystalline CdAsRh4 at its relaxed geometry.

The structure in extended XYZ format:
```
6
Lattice="0.000 3.680 3.680 3.680 0.000 3.680 3.680 3.680 0.000" Properties=species:S:1:pos:R:3 pbc="T T T"
Cd 0.000 0.000 0.000
As 1.840 1.840 1.840
Rh 4.599 2.761 2.761
Rh 2.761 4.599 2.761
Rh 2.761 2.761 4.599
Rh 4.599 4.599 4.599
```

Results
* magnetization: 0.0 μB per formula unit
* DFT formation energy: 213 meV/atom